Ca2NiSe: PBEsol geometry, SCAN.

```
4
Lattice="3.514 0.000 0.000 0.000 3.514 0.000 0.000 0.000 6.850" Properties=species:S:1:pos:R:3 pbc="T T T"
Ni 1.757 1.757 0.000
Ca 0.000 0.000 5.134
Ca 0.000 0.000 1.716
Se 1.757 1.757 3.425
```

As for the total energy: -0.542 Ha/atom. The magnetic moment is 0.23 μB per formula unit. Its symmetry is P4/mmm.